(1)
VASP calculation (PBE) on KHoSnS3 after structural relaxation.

Cell and atoms, written as POSCAR:
```
KHoSnS3
1.0
1.980 -8.427 0.000
1.980 8.427 0.000
0.000 0.000 11.193
K Ho Sn S
2 2 2 6
Direct
0.175 0.825 0.750 K
0.825 0.175 0.250 K
0.500 0.500 0.000 Ho
0.500 0.500 0.500 Ho
0.121 0.879 0.250 Sn
0.879 0.121 0.750 Sn
0.109 0.891 0.002 S
0.109 0.891 0.498 S
0.484 0.516 0.750 S
0.516 0.484 0.250 S
0.891 0.109 0.502 S
0.891 0.109 0.998 S
```

## Properties
ΔE_f (raw) = -1.271 eV/atom
SG = Cmcm

---

(2)
VASP calculation (PBE) on K2HoSnS4 after structural relaxation.

Cell and atoms, written as POSCAR:
```
K2HoSnS4
1.0
7.050 0.000 0.000
0.000 4.014 0.000
-2.290 0.000 7.368
K Ho Sn S
2 1 1 4
Direct
0.000 0.000 0.000 K
0.500 0.500 0.000 K
0.000 0.500 0.500 Ho
0.500 0.000 0.500 Sn
0.232 0.000 0.700 S
0.263 0.500 0.299 S
0.737 0.500 0.701 S
0.768 0.000 0.300 S
```

## Properties
ΔE_f (raw) = -1.303 eV/atom
SG = P2/m

---

(3)
VASP calculation (PBE) on KTb4HoS8 after structural relaxation.

Cell and atoms, written as POSCAR:
```
KTb4HoS8
1.0
4.125 2.382 6.702
-4.125 2.382 6.702
0.000 -4.764 6.702
K Tb Ho S
1 4 1 8
Direct
0.000 0.000 0.000 K
0.111 0.629 0.629 Tb
0.249 0.249 0.249 Tb
0.629 0.111 0.629 Tb
0.629 0.629 0.111 Tb
0.629 0.629 0.629 Ho
0.382 0.382 0.382 S
0.383 0.383 0.851 S
0.383 0.851 0.383 S
0.424 0.856 0.856 S
0.851 0.383 0.383 S
0.856 0.424 0.856 S
0.856 0.856 0.424 S
0.858 0.858 0.858 S
```

## Properties
ΔE_f (raw) = -1.937 eV/atom
SG = R3m

---

(4)
VASP calculation (PBE) on K3Tb2HoS6 after structural relaxation.

Cell and atoms, written as POSCAR:
```
K3Tb2HoS6
1.0
3.515 -6.088 0.000
3.515 6.088 0.000
-2.343 0.000 7.371
K Tb Ho S
3 2 1 6
Direct
0.000 0.000 0.000 K
0.333 0.667 0.000 K
0.667 0.333 0.000 K
0.167 0.833 0.500 Tb
0.833 0.167 0.500 Tb
0.500 0.500 0.500 Ho
0.102 0.433 0.298 S
0.236 0.236 0.702 S
0.433 0.102 0.298 S
0.567 0.898 0.702 S
0.764 0.764 0.298 S
0.898 0.567 0.702 S
```

## Properties
ΔE_f (raw) = -1.889 eV/atom
SG = C2/m

---

- What is the formula in the first record?
  KHoSnS3